(1)
Material: ZrBeCd2
Method: DFT, PBE-GGA
State: relaxed

a = 5.7800 Å, b = 5.7800 Å, c = 4.6525 Å
α = 66.23°, β = 66.23°, γ = 31.51°
Closest atoms and distances in Å follow each position.
Fractional coordinates of all 4 atoms:
Be (0.7500, 0.7500, 0.7500)  4 Cd 2.64, 4 Zr 2.81
Zr (0.2500, 0.2500, 0.2500)  4 Be 2.81, 2 Zr 3.14
Cd (0.0400, 0.0400, 0.9601)  2 Be 2.64, 4 Cd 2.92
Cd (0.4600, 0.4600, 0.5399)  2 Be 2.64, 4 Cd 2.92

Results
Space-group type = Immm (71)
Energy of formation = 141 meV/atom

(2)
Material: ZrBeCd2
Method: DFT, PBE-GGA
State: relaxed

a = 4.1642 Å, b = 3.0506 Å, c = 6.1128 Å
α = 75.42°, β = 90.00°, γ = 90.00°
Closest atoms and distances in Å follow each position.
Fractional coordinates of all 4 atoms:
Be (0.5000, 0.9511, 0.7213)  3 Cd 2.62-2.81, 4 Zr 2.79
Zr (0.0000, 0.5422, 0.5407)  4 Be 2.79, 2 Zr 3.05, 6 Cd 3.07-3.11
Cd (0.0000, 0.8172, 0.9910)  2 Be 2.62
Cd (0.5000, 0.1895, 0.2470)  1 Be 2.81, 6 Cd 2.99-3.05, 4 Zr 3.11

Results
Space-group type = Pm (6)
Energy of formation = 77 meV/atom

(3)
Material: ZrBeCd3
Method: DFT, PBE-GGA
State: relaxed

a = 4.6205 Å, b = 4.6205 Å, c = 4.6205 Å
α = 90.00°, β = 90.00°, γ = 90.00°
Closest atoms and distances in Å follow each position.
Fractional coordinates of all 5 atoms:
Be (0.0000, 0.0000, 0.0000)  6 Cd 2.31
Zr (0.5000, 0.5000, 0.5000)  12 Cd 3.27
Cd (0.0000, 0.5000, 0.0000)  2 Be 2.31
Cd (0.0000, 0.0000, 0.5000)  2 Be 2.31
Cd (0.5000, 0.0000, 0.0000)  2 Be 2.31

Results
Offset from the most stable computed form = 0.00 eV per formula unit
Space-group type = Pm-3m (221)
Energy of formation = 331 meV/atom

(4)
Material: Zr2BeCd
Method: DFT, PBE-GGA
State: relaxed

a = 4.8446 Å, b = 4.8446 Å, c = 4.8446 Å
α = 60.00°, β = 60.00°, γ = 60.00°
Closest atoms and distances in Å follow each position.
Fractional coordinates of all 4 atoms:
Be (0.5000, 0.5000, 0.5000)  4 Zr 2.97, 4 Cd 2.97
Zr (0.0000, 0.0000, 0.0000)  4 Zr 2.97, 4 Cd 2.97
Zr (0.2500, 0.2500, 0.2500)  4 Zr 2.97, 4 Be 2.97
Cd (0.7500, 0.7500, 0.7500)  4 Be 2.97, 4 Zr 2.97

Results
Offset from the most stable computed form = 2.16 eV per formula unit
Space-group type = F-43m (216)
Energy of formation = 454 meV/atom

(5)
Material: Zr2BeCd
Method: DFT, PBE-GGA
State: relaxed

a = 4.1428 Å, b = 3.3045 Å, c = 5.9277 Å
α = 73.81°, β = 90.00°, γ = 90.00°
Closest atoms and distances in Å follow each position.
Fractional coordinates of all 4 atoms:
Be (0.0000, 0.7013, 0.4730)  2 Cd 2.58, 5 Zr 2.75-2.84
Zr (0.0000, 0.9428, 0.9893)  1 Be 2.75, 4 Cd 3.00
Zr (0.5000, 0.2894, 0.2959)  4 Be 2.83-2.84, 3 Cd 3.03-3.15, 4 Zr 3.17
Cd (0.5000, 0.5665, 0.7418)  2 Be 2.58

Results
Offset from the most stable computed form = 0.51 eV per formula unit
Space-group type = Amm2 (38)
Energy of formation = 40 meV/atom

(6)
Material: Zr2BeCd
Method: DFT, PBE-GGA
State: relaxed

a = 4.7732 Å, b = 4.7732 Å, c = 4.7732 Å
α = 60.00°, β = 60.00°, γ = 60.00°
Closest atoms and distances in Å follow each position.
Fractional coordinates of all 4 atoms:
Be (0.0000, 0.0000, 0.0000)  8 Zr 2.92
Zr (0.2500, 0.2500, 0.2500)  4 Cd 2.92, 4 Be 2.92
Zr (0.7500, 0.7500, 0.7500)  4 Cd 2.92, 4 Be 2.92
Cd (0.5000, 0.5000, 0.5000)  8 Zr 2.92

Results
Offset from the most stable computed form = 0.53 eV per formula unit
Space-group type = Fm-3m (225)
Energy of formation = 45 meV/atom

(7)
Material: ZrBeCd2
Method: DFT, PBE-GGA
State: relaxed

a = 4.7072 Å, b = 4.7072 Å, c = 4.7079 Å
α = 119.98°, β = 119.98°, γ = 90.02°
Closest atoms and distances in Å follow each position.
Fractional coordinates of all 4 atoms:
Be (0.7479, 0.2521, 0.5000)  4 Zr 2.87-2.89, 4 Cd 2.87-2.89
Zr (0.5006, 0.4994, 0.0000)  4 Be 2.87-2.89, 4 Cd 2.88-2.89
Cd (0.0004, 0.9996, 0.0000)  4 Be 2.87-2.89, 4 Cd 2.88-2.89
Cd (0.2511, 0.7489, 0.5000)  4 Cd 2.88-2.89, 4 Zr 2.88-2.89

Results
Space-group type = Imm2 (44)
Energy of formation = 184 meV/atom

(8)
Material: ZrBeCd3
Method: DFT, PBE-GGA
State: relaxed

a = 5.6827 Å, b = 5.6827 Å, c = 5.6827 Å
α = 90.00°, β = 90.00°, γ = 90.00°
Closest atoms and distances in Å follow each position.
Fractional coordinates of all 5 atoms:
Be (0.5000, 0.5000, 0.5000)  12 Cd 4.02
Zr (0.0000, 0.0000, 0.0000)  6 Cd 2.84
Cd (0.0000, 0.5000, 0.0000)  2 Zr 2.84
Cd (0.0000, 0.0000, 0.5000)  2 Zr 2.84
Cd (0.5000, 0.0000, 0.0000)  2 Zr 2.84

Results
Offset from the most stable computed form = 5.39 eV per formula unit
Space-group type = Pm-3m (221)
Energy of formation = 1408 meV/atom

(9)
Material: Zr2BeCd
Method: DFT, PBE-GGA
State: relaxed

a = 5.6586 Å, b = 5.6586 Å, c = 4.9849 Å
α = 64.00°, β = 64.00°, γ = 32.23°
Closest atoms and distances in Å follow each position.
Fractional coordinates of all 4 atoms:
Be (0.5105, 0.5105, 0.4893)  2 Cd 2.50, 2 Zr 2.75
Zr (0.0008, 0.0008, 0.9986)  4 Be 2.95, 5 Zr 3.10-3.29, 4 Cd 3.21-3.22
Zr (0.7771, 0.7771, 0.7234)  2 Be 2.75, 4 Cd 3.01
Cd (0.2116, 0.2116, 0.2886)  2 Be 2.50

Results
Offset from the most stable computed form = 0.48 eV per formula unit
Space-group type = Cm (8)
Energy of formation = 32 meV/atom

(10)
Material: ZrBeCd2
Method: DFT, PBE-GGA
State: relaxed

a = 9.5455 Å, b = 9.5455 Å, c = 9.5455 Å
α = 18.39°, β = 18.39°, γ = 18.39°
Closest atoms and distances in Å follow each position.
Fractional coordinates of all 4 atoms:
Be (0.7500, 0.7500, 0.7500)  6 Cd 2.66
Zr (0.2500, 0.2500, 0.2500)  6 Zr 3.05, 6 Cd 3.22
Cd (0.0124, 0.0124, 0.0124)  3 Be 2.66
Cd (0.4876, 0.4876, 0.4876)  3 Be 2.66

Results
Space-group type = R-3m (166)
Energy of formation = 293 meV/atom

(11)
Material: Zr2Be2Cd
Method: DFT, PBE-GGA
State: relaxed

a = 3.8512 Å, b = 3.4787 Å, c = 6.5565 Å
α = 105.38°, β = 90.00°, γ = 90.00°
Closest atoms and distances in Å follow each position.
Fractional coordinates of all 5 atoms:
Zr (0.5000, 0.6440, 0.2880)  6 Be 2.70-2.73
Zr (0.5000, 0.3560, 0.7120)  6 Be 2.70-2.73
Be (0.0000, 0.2031, 0.4061)  2 Be 2.11
Be (0.0000, 0.7969, 0.5939)  2 Be 2.11
Cd (0.0000, 0.0000, 0.0000)  2 Be 2.57

Results
Offset from the most stable computed form = 0.00 eV per formula unit
Space-group type = Cmmm (65)
Energy of formation = -181 meV/atom

(12)
Material: Zr3BeCd
Method: DFT, PBE-GGA
State: relaxed

a = 4.7508 Å, b = 4.7508 Å, c = 4.7508 Å
α = 90.00°, β = 90.00°, γ = 90.00°
Closest atoms and distances in Å follow each position.
Fractional coordinates of all 5 atoms:
Be (0.0000, 0.0000, 0.0000)  6 Zr 2.38
Zr (0.0000, 0.5000, 0.0000)  2 Be 2.38
Zr (0.0000, 0.0000, 0.5000)  2 Be 2.38
Zr (0.5000, 0.0000, 0.0000)  2 Be 2.38
Cd (0.5000, 0.5000, 0.5000)  12 Zr 3.36

Results
Offset from the most stable computed form = 0.00 eV per formula unit
Space-group type = Pm-3m (221)
Energy of formation = 176 meV/atom

> Among the records above, which one has the lowest energy of formation?

Zr2Be2Cd